Entry 1:
# PBE-GGA RbReNi, optimized geometry
data_RbReNi
_chemical_formula_sum 'Rb2 Re2 Ni2'
_cell_length_a 6.1112
_cell_length_b 6.1112
_cell_length_c 9.0279
_cell_angle_alpha 90.00
_cell_angle_beta 90.00
_cell_angle_gamma 120.00
_space_group_name_H-M_alt 'P 63/m m c'
_space_group_IT_number 194
_space_group_name_Hall '-P 6c 2c'
loop_
_atom_site_label
_atom_site_type_symbol
_atom_site_fract_x
_atom_site_fract_y
_atom_site_fract_z
_atom_site_occupancy
Rb1 Rb 0.3333 0.6667 0.2500 1
Re1 Re 0.0000 0.0000 0.2500 1
Ni1 Ni 0.0000 0.0000 0.0000 1
# Volume   48.67 Å³/atom
# DFT total energy   -4.22 eV/atom
# DFT formation energy   6.53 eV per formula unit
# Total moment   3.4 μB/f.u.

=====

Entry 2:
# PBE-GGA LaDyHo2In4, optimized geometry
data_LaDyHo2In4
_chemical_formula_sum 'La3 Dy3 Ho6 In12'
_cell_length_a 5.3731
_cell_length_b 5.3731
_cell_length_c 26.4434
_cell_angle_alpha 90.00
_cell_angle_beta 90.00
_cell_angle_gamma 120.00
_space_group_name_H-M_alt 'R -3 m'
_space_group_IT_number 166
_space_group_name_Hall '-R 3 2"'
loop_
_atom_site_label
_atom_site_type_symbol
_atom_site_fract_x
_atom_site_fract_y
_atom_site_fract_z
_atom_site_occupancy
La1 La 0.0000 0.0000 0.0000 1
Dy1 Dy 0.0000 0.0000 0.5000 1
Ho1 Ho 0.0000 0.0000 0.2495 1
In1 In 0.0000 0.0000 0.1271 1
In2 In 0.0000 0.0000 0.3774 1
# Volume   27.55 Å³/atom
# DFT total energy   -4.17 eV/atom
# DFT formation energy   -3.72 eV per formula unit
# Total moment   0.0 μB/f.u.

=====

Entry 3:
# PBE-GGA SrNd3Y2Te6, optimized geometry
data_SrNd3Y2Te6
_chemical_formula_sum 'Sr2 Nd6 Y4 Te12'
_cell_length_a 19.590
_cell_length_b 4.465
_cell_length_c 9.039
_cell_angle_alpha 90.00
_cell_angle_beta 104.04
_cell_angle_gamma 90.00
_space_group_name_H-M_alt 'C 1 2/m 1'
_space_group_IT_number 12
loop_
_space_group_symop_operation_xyz
'x,y,z'
'-x,-y,-z'
'-x,y,-z'
'x,-y,z'
'x+1/2,y+1/2,z'
'-x+1/2,-y+1/2,-z'
'-x+1/2,y+1/2,-z'
'x+1/2,-y+1/2,z'
loop_
_atom_site_label
_atom_site_type_symbol
_atom_site_fract_x
_atom_site_fract_y
_atom_site_fract_z
_atom_site_occupancy
Sr1 Sr 0.000 0.000 0.000 1
Nd1 Nd 0.000 0.000 0.500 1
Nd2 Nd 0.161 0.500 0.818 1
Y1 Y 0.169 0.500 0.340 1
Te1 Te 0.006 0.500 0.256 1
Te2 Te 0.168 0.000 0.574 1
Te3 Te 0.171 0.000 0.089 1
# Raw formation energy   -1.42 eV/atom
# Volume   31.96 Å³/atom
# DFT total energy   -5.40 eV/atom
# Total moment   0.0 μB/f.u.

=====

Entry 4:
# PBE-GGA Y2Tm4Cd, optimized geometry
data_Y2Tm4Cd
_chemical_formula_sum 'Y4 Tm8 Cd2'
_cell_length_a 16.372
_cell_length_b 3.462
_cell_length_c 8.399
_cell_angle_alpha 90.00
_cell_angle_beta 117.49
_cell_angle_gamma 90.00
_space_group_name_H-M_alt 'C 1 2/m 1'
_space_group_IT_number 12
loop_
_space_group_symop_operation_xyz
'x,y,z'
'-x,-y,-z'
'-x,y,-z'
'x,-y,z'
'x+1/2,y+1/2,z'
'-x+1/2,-y+1/2,-z'
'-x+1/2,y+1/2,-z'
'x+1/2,-y+1/2,z'
loop_
_atom_site_label
_atom_site_type_symbol
_atom_site_fract_x
_atom_site_fract_y
_atom_site_fract_z
_atom_site_occupancy
Y1 Y 0.218 0.000 0.143 1
Tm1 Tm 0.080 0.000 0.701 1
Tm2 Tm 0.130 0.500 0.395 1
Cd1 Cd 0.000 0.000 0.000 1
# Volume   30.17 Å³/atom
# DFT total energy   -4.48 eV/atom
# DFT formation energy   0.40 eV per formula unit
# Total moment   0.0 μB/f.u.